# 1
MgSc | Alexandria | PBE | optimized geometry; N(E_F) = 1.6201 states/eV/atom; formation energy from the elements = 113.9 kJ/mol of formula units; theoretical density = 2.01 g/cm3; SG = P6_3/mmc (194)
1.0
-4.218 1.408 1.072
1.176 -4.377 0.619
1.935 1.347 5.844
Sc Mg
2 2
direct
0.000 0.000 0.000
0.000 0.000 0.500
0.333 0.667 0.250
0.667 0.333 0.750

# 2
NdMg6Hg4 | Alexandria | PBE | optimized geometry; N(E_F) = 0.4006 states/eV/atom; formation energy from the elements = -282.2 kJ/mol of formula units; theoretical density = 7.04 g/cm3; SG = P-6m2 (187)
1.0
4.161 0.000 0.000
0.000 7.323 -4.228
0.000 0.000 8.456
Mg Hg Nd
6 4 1
direct
0.500 0.203 0.406
0.000 0.934 0.467
0.500 0.203 0.797
0.000 0.533 0.066
0.500 0.594 0.797
0.000 0.533 0.467
0.000 0.333 0.667
0.500 0.365 0.183
0.500 0.817 0.635
0.500 0.817 0.183
0.000 0.000 0.000

# 3
MnP2BrCl | Alexandria | PBE | optimized geometry; N(E_F) = 1.0624 states/eV/atom; theoretical density = 3.28 g/cm3; excess energy over the best structure of this formula in the dataset = 1.521 eV/atom; formation energy without anion corrections = 9.1 eV/f.u.; SG = P4/mmm (123)
1.0
4.896 0.000 0.000
0.000 4.896 0.000
0.000 0.000 4.910
Cl P Br Mn
1 2 1 1
direct
0.000 0.000 0.500
0.500 0.000 0.000
0.000 0.500 0.000
0.000 0.000 0.000
0.500 0.500 0.500

> Among the records above, which one has the lowest theoretical density?

MgSc